(1)
Entry from Alexandria via LeMat-Bulk: crystalline ZnCdHg2I at its relaxed geometry (GGA-PBE).

Cell and atoms, written as POSCAR:
```
ZnCdHg2I
1.0
-3.4176 -0.9915 4.0320
3.8026 -2.8443 2.5238
1.8013 4.8134 2.7105
I Zn Hg Cd
1 1 2 1
direct
0.0000 0.0000 0.5000 I
0.0000 0.0000 0.0000 Zn
0.0000 0.5000 0.0000 Hg
0.5000 0.0000 0.0000 Hg
0.5000 0.5000 0.5000 Cd
```

* DFT total energy: -0.823 eV per atom
* space group: P4/mmm
* energy relative to the lowest polymorph listed for this composition: 73.0 meV/atom

***

(2)
Entry from Alexandria via LeMat-Bulk: crystalline ZnCd2HgI at its relaxed geometry (GGA-PBE).

Cell and atoms, written as POSCAR:
```
ZnCd2HgI
1.0
-1.6853 -5.0754 0.3599
4.6695 -1.3921 2.2332
-2.0081 1.0092 4.8280
I Zn Hg Cd
1 1 1 2
direct
0.5000 0.5000 0.5000 I
0.0000 0.0000 0.0000 Zn
0.0000 0.0000 0.5000 Hg
0.0000 0.5000 0.0000 Cd
0.5000 0.0000 0.0000 Cd
```

* DFT total energy: -0.990 eV per atom
* space group: P4/mmm

***

(3)
Entry from Alexandria via LeMat-Bulk: crystalline CdIn7Hg4 at its relaxed geometry (GGA-PBE).

Cell and atoms, written as POSCAR:
```
CdIn7Hg4
1.0
-3.0740 -1.7395 1.0984
3.2953 -1.6279 0.4161
2.4153 11.1178 24.3670
Cd In Hg
1 7 4
direct
0.0000 0.0000 0.5000 Cd
0.0000 0.0000 0.0000 In
0.6667 0.3333 0.5831 In
0.3333 0.6667 0.4169 In
0.6667 0.3333 0.8351 In
0.3333 0.6667 0.1649 In
0.0000 0.0000 0.2527 In
0.0000 0.0000 0.7473 In
0.6667 0.3333 0.0827 Hg
0.3333 0.6667 0.9173 Hg
0.6667 0.3333 0.3344 Hg
0.3333 0.6667 0.6656 Hg
```

* DFT total energy: -1.742 eV per atom
* space group: P-3m1
* E_form: 0.03 eV/atom

***

(4)
Entry from Alexandria via LeMat-Bulk: crystalline Cd2In5Hg3 at its relaxed geometry (GGA-PBE).

Cell and atoms, written as POSCAR:
```
Cd2In5Hg3
1.0
9.0320 0.1757 -2.9928
-1.2197 8.0412 -3.2090
-1.2789 -1.5894 8.4145
Cd In Hg
4 10 6
direct
0.9065 0.7866 0.7461 Cd
0.0935 0.2134 0.2539 Cd
0.4065 0.9595 0.7461 Cd
0.5935 0.0405 0.2539 Cd
0.2500 0.7399 0.0000 In
0.7500 0.2601 0.0000 In
0.0285 0.6606 0.4456 In
0.4715 0.2150 0.5544 In
0.9715 0.3394 0.5544 In
0.5285 0.7850 0.4456 In
0.8307 0.5198 0.8596 In
0.1693 0.4802 0.1404 In
0.3307 0.3398 0.8596 In
0.6693 0.6602 0.1404 In
0.2500 0.0987 0.0000 Hg
0.7500 0.9013 0.0000 Hg
0.6234 0.4226 0.3401 Hg
0.3766 0.5774 0.6599 Hg
0.1234 0.9175 0.3401 Hg
0.8766 0.0825 0.6599 Hg
```

* DFT total energy: -1.610 eV per atom
* space group: C2/c
* E_form: 0.03 eV/atom